Record 1
This record from the Alexandria database describes crystalline Hg2MoAs at its relaxed geometry. The functional is PBE.

CIF file:
```
data_Hg2MoAs
_cell_length_a 7.7236
_cell_length_b 7.7236
_cell_length_c 4.1427
_cell_angle_alpha 74.40
_cell_angle_beta 74.40
_cell_angle_gamma 21.49
_space_group_name_H-M_alt 'P 1'
_space_group_IT_number 1
loop_
_space_group_symop_operation_xyz
'x,y,z'
loop_
_atom_site_label
_atom_site_type_symbol
_atom_site_fract_x
_atom_site_fract_y
_atom_site_fract_z
As1 As 0.2500 0.2500 0.2500
Hg1 Hg 0.0673 0.0673 0.9335
Hg2 Hg 0.4327 0.4327 0.5665
Mo1 Mo 0.7500 0.7500 0.7500
```

**SG**: Immm
**Total DFT energy (no corrections)**: -3.77 eV/atom
**Formation energy**: 24.6 kJ per mole of atoms

***

Record 2
This record from the Alexandria database describes crystalline TaBeOs at its relaxed geometry. The functional is PBE.

CIF file:
```
data_TaBeOs
_cell_length_a 4.9074
_cell_length_b 4.9074
_cell_length_c 3.0558
_cell_angle_alpha 71.86
_cell_angle_beta 71.86
_cell_angle_gamma 36.28
_space_group_name_H-M_alt 'P 1'
_space_group_IT_number 1
loop_
_space_group_symop_operation_xyz
'x,y,z'
loop_
_atom_site_label
_atom_site_type_symbol
_atom_site_fract_x
_atom_site_fract_y
_atom_site_fract_z
Ta1 Ta 0.6644 0.6644 0.3356
Os1 Os 0.3572 0.3572 0.6428
Be1 Be 0.9785 0.9785 0.0215
```

**Offset from the most stable computed form**: 0.916 eV/f.u.
**SG**: I4mm
**Total DFT energy (no corrections)**: -9.13 eV/atom
**Formation energy**: -18.6 kJ per mole of atoms

***

Record 3
This record from the Alexandria database describes crystalline AcPrCu4 at its relaxed geometry. The functional is PBE.

CIF file:
```
data_AcPrCu4
_cell_length_a 5.4930
_cell_length_b 5.4930
_cell_length_c 5.4930
_cell_angle_alpha 60.00
_cell_angle_beta 60.00
_cell_angle_gamma 60.00
_space_group_name_H-M_alt 'P 1'
_space_group_IT_number 1
loop_
_space_group_symop_operation_xyz
'x,y,z'
loop_
_atom_site_label
_atom_site_type_symbol
_atom_site_fract_x
_atom_site_fract_y
_atom_site_fract_z
Cu1 Cu 0.6265 0.1205 0.6265
Cu2 Cu 0.1205 0.6265 0.6265
Pr1 Pr 0.0000 0.0000 0.0000
Ac1 Ac 0.2500 0.2500 0.2500
Cu3 Cu 0.6265 0.6265 0.1205
Cu4 Cu 0.6265 0.6265 0.6265
```

**Offset from the most stable computed form**: 1.198 eV/f.u.
**SG**: F-43m
**Total DFT energy (no corrections)**: -4.21 eV/atom
**Formation energy**: 0.1 kJ per mole of atoms

***

Record 4
This record from the Alexandria database describes crystalline SbWI3 at its relaxed geometry. The functional is PBE.

CIF file:
```
data_SbWI3
_cell_length_a 6.0243
_cell_length_b 6.0243
_cell_length_c 6.0243
_cell_angle_alpha 90.00
_cell_angle_beta 90.00
_cell_angle_gamma 90.00
_space_group_name_H-M_alt 'P 1'
_space_group_IT_number 1
loop_
_space_group_symop_operation_xyz
'x,y,z'
loop_
_atom_site_label
_atom_site_type_symbol
_atom_site_fract_x
_atom_site_fract_y
_atom_site_fract_z
W1 W 0.5000 0.5000 0.5000
I1 I 0.5000 0.0000 0.0000
Sb1 Sb 0.0000 0.0000 0.0000
I2 I 0.0000 0.0000 0.5000
I3 I 0.0000 0.5000 0.0000
```

**Offset from the most stable computed form**: 2.296 eV/f.u.
**SG**: Pm-3m
**Total DFT energy (no corrections)**: -3.01 eV/atom
**Raw formation energy**: 1332.5 meV/atom

***

Record 5
This record from the Alexandria database describes crystalline MnZnW2 at its relaxed geometry. The functional is PBE.

CIF file:
```
data_MnZnW2
_cell_length_a 5.0848
_cell_length_b 5.0848
_cell_length_c 5.0848
_cell_angle_alpha 144.27
_cell_angle_beta 129.84
_cell_angle_gamma 63.10
_space_group_name_H-M_alt 'P 1'
_space_group_IT_number 1
loop_
_space_group_symop_operation_xyz
'x,y,z'
loop_
_atom_site_label
_atom_site_type_symbol
_atom_site_fract_x
_atom_site_fract_y
_atom_site_fract_z
Mn1 Mn 0.2500 0.7500 0.5000
Zn1 Zn 0.7500 0.2500 0.5000
W1 W 0.0118 0.0118 0.0000
W2 W 0.4882 0.4882 0.0000
```

**SG**: Immm
**Total DFT energy (no corrections)**: -8.87 eV/atom
**Formation energy**: 20.7 kJ per mole of atoms

***

Record 6
This record from the Alexandria database describes crystalline TlSnBr2 at its relaxed geometry. The functional is PBE.

CIF file:
```
data_TlSnBr2
_cell_length_a 5.8619
_cell_length_b 5.8619
_cell_length_c 10.2532
_cell_angle_alpha 73.39
_cell_angle_beta 73.39
_cell_angle_gamma 90.00
_space_group_name_H-M_alt 'P 1'
_space_group_IT_number 1
loop_
_space_group_symop_operation_xyz
'x,y,z'
loop_
_atom_site_label
_atom_site_type_symbol
_atom_site_fract_x
_atom_site_fract_y
_atom_site_fract_z
Tl1 Tl 0.0000 0.0000 0.0000
Br1 Br 0.3750 0.4155 0.7500
Br2 Br 0.8750 0.8345 0.7500
Sn1 Sn 0.2500 0.7500 0.5000
Br3 Br 0.1655 0.6250 0.2500
Tl2 Tl 0.7500 0.2500 0.5000
Sn2 Sn 0.5000 0.5000 0.0000
Br4 Br 0.5845 0.1250 0.2500
```

**Offset from the most stable computed form**: 0.193 eV/f.u.
**SG**: I-42d
**Total DFT energy (no corrections)**: -2.78 eV/atom
**Raw formation energy**: -352.0 meV/atom

***

Record 7
This record from the Alexandria database describes crystalline K2TlHF6 at its relaxed geometry. The functional is PBE.

CIF file:
```
data_K2TlHF6
_cell_length_a 6.8940
_cell_length_b 7.2852
_cell_length_c 6.6511
_cell_angle_alpha 126.16
_cell_angle_beta 124.44
_cell_angle_gamma 95.82
_space_group_name_H-M_alt 'P 1'
_space_group_IT_number 1
loop_
_space_group_symop_operation_xyz
'x,y,z'
loop_
_atom_site_label
_atom_site_type_symbol
_atom_site_fract_x
_atom_site_fract_y
_atom_site_fract_z
H1 H 0.4970 0.4978 0.9961
F1 F 0.7257 0.7130 0.3435
F2 F 0.2775 0.2913 0.6626
K1 K 0.7693 0.1580 0.4779
F3 F 0.1383 0.7516 0.0148
F4 F 0.8618 0.2497 0.9854
F5 F 0.3695 0.2081 0.1399
K2 K 0.2303 0.8428 0.5216
Tl1 Tl 0.9967 0.9967 0.9928
F6 F 0.6329 0.7950 0.8632
```

**SG**: P1
**Total DFT energy (no corrections)**: -4.13 eV/atom

***

Record 8
This record from the Alexandria database describes crystalline NaScC at its relaxed geometry. The functional is PBE.

CIF file:
```
data_NaScC
_cell_length_a 3.6152
_cell_length_b 3.6152
_cell_length_c 11.0797
_cell_angle_alpha 90.00
_cell_angle_beta 90.00
_cell_angle_gamma 120.00
_space_group_name_H-M_alt 'P 1'
_space_group_IT_number 1
loop_
_space_group_symop_operation_xyz
'x,y,z'
loop_
_atom_site_label
_atom_site_type_symbol
_atom_site_fract_x
_atom_site_fract_y
_atom_site_fract_z
Sc1 Sc 0.3333 0.6667 0.7321
Na1 Na 0.6667 0.3333 0.5000
C1 C 0.0000 0.0000 0.3161
Na2 Na 0.6667 0.3333 0.0000
Sc2 Sc 0.3333 0.6667 0.2679
C2 C 0.0000 0.0000 0.6839
```

**Offset from the most stable computed form**: 1.528 eV/f.u.
**SG**: P-6m2
**Total DFT energy (no corrections)**: -5.26 eV/atom
**Formation energy**: 35.3 kJ per mole of atoms

***

Record 9
This record from the Alexandria database describes crystalline FeMoW at its relaxed geometry. The functional is PBE.

CIF file:
```
data_FeMoW
_cell_length_a 6.7414
_cell_length_b 6.5836
_cell_length_c 2.6764
_cell_angle_alpha 81.74
_cell_angle_beta 75.12
_cell_angle_gamma 23.13
_space_group_name_H-M_alt 'P 1'
_space_group_IT_number 1
loop_
_space_group_symop_operation_xyz
'x,y,z'
loop_
_atom_site_label
_atom_site_type_symbol
_atom_site_fract_x
_atom_site_fract_y
_atom_site_fract_z
W1 W 0.6609 0.6609 0.3391
Mo1 Mo 0.3390 0.3390 0.6610
Fe1 Fe 0.0001 0.0001 0.9999
```

**Offset from the most stable computed form**: 0.058 eV/f.u.
**SG**: Fmm2
**Total DFT energy (no corrections)**: -10.66 eV/atom
**Formation energy**: 9.0 kJ per mole of atoms

***

Record 10
This record from the Alexandria database describes crystalline NiI2N2 at its relaxed geometry. The functional is PBE.

CIF file:
```
data_NiI2N2
_cell_length_a 3.9530
_cell_length_b 3.9564
_cell_length_c 10.8638
_cell_angle_alpha 85.11
_cell_angle_beta 90.00
_cell_angle_gamma 119.97
_space_group_name_H-M_alt 'P 1'
_space_group_IT_number 1
loop_
_space_group_symop_operation_xyz
'x,y,z'
loop_
_atom_site_label
_atom_site_type_symbol
_atom_site_fract_x
_atom_site_fract_y
_atom_site_fract_z
I1 I 0.3548 0.7095 0.8609
N1 N 0.9503 0.9007 0.4624
N2 N 0.0497 0.0993 0.5376
I2 I 0.6452 0.2905 0.1391
Ni1 Ni 0.0000 0.0000 0.0000
```

**Offset from the most stable computed form**: 0.000 eV/f.u.
**SG**: C2/m
**Total DFT energy (no corrections)**: -5.15 eV/atom
**Raw formation energy**: -47.8 meV/atom

***

Record 11
This record from the Alexandria database describes crystalline TiTc2Ir2 at its relaxed geometry. The functional is PBE.

CIF file:
```
data_TiTc2Ir2
_cell_length_a 7.5400
_cell_length_b 7.5400
_cell_length_c 2.7468
_cell_angle_alpha 90.00
_cell_angle_beta 90.00
_cell_angle_gamma 90.00
_space_group_name_H-M_alt 'P 1'
_space_group_IT_number 1
loop_
_space_group_symop_operation_xyz
'x,y,z'
loop_
_atom_site_label
_atom_site_type_symbol
_atom_site_fract_x
_atom_site_fract_y
_atom_site_fract_z
Tc1 Tc 0.3789 0.8789 0.0000
Tc2 Tc 0.1211 0.3789 0.0000
Tc3 Tc 0.8789 0.6211 0.0000
Tc4 Tc 0.6211 0.1211 0.0000
Ir1 Ir 0.8262 0.3262 0.5000
Ir2 Ir 0.3262 0.1738 0.5000
Ir3 Ir 0.6738 0.8262 0.5000
Ti1 Ti 0.5000 0.5000 0.0000
Ir4 Ir 0.1738 0.6738 0.5000
Ti2 Ti 0.0000 0.0000 0.0000
```

**Offset from the most stable computed form**: 0.000 eV/f.u.
**SG**: P4/mbm
**Total DFT energy (no corrections)**: -9.42 eV/atom
**Formation energy**: -15.0 kJ per mole of atoms

***

Record 12
This record from the Alexandria database describes crystalline Li2SnP2O7 at its relaxed geometry. The functional is PBE.

CIF file:
```
data_Li2SnP2O7
_cell_length_a 15.9818
_cell_length_b 5.1428
_cell_length_c 9.2080
_cell_angle_alpha 55.77
_cell_angle_beta 90.00
_cell_angle_gamma 90.00
_space_group_name_H-M_alt 'P 1'
_space_group_IT_number 1
loop_
_space_group_symop_operation_xyz
'x,y,z'
loop_
_atom_site_label
_atom_site_type_symbol
_atom_site_fract_x
_atom_site_fract_y
_atom_site_fract_z
O1 O 0.5247 0.7916 0.3017
Sn1 Sn 0.6564 0.9154 0.3319
O2 O 0.4753 0.2084 0.6983
O3 O 0.4429 0.3339 0.9188
Sn2 Sn 0.3436 0.0846 0.6681
O4 O 0.6644 0.9655 0.8480
Li1 Li 0.8222 0.3908 0.3238
P1 P 0.4805 0.4833 0.7226
O5 O 0.3356 0.0345 0.1520
O6 O 0.4304 0.4160 0.2771
O7 O 0.2086 0.3057 0.3282
O8 O 0.9753 0.7916 0.8017
Li2 Li 0.1778 0.6092 0.6762
P2 P 0.9805 0.5167 0.7774
O9 O 0.7914 0.6943 0.6718
Li3 Li 0.5775 0.0199 0.6661
Li4 Li 0.4225 0.9801 0.3339
O10 O 0.4212 0.7539 0.5966
O11 O 0.5788 0.2461 0.4034
Sn3 Sn 0.1564 0.0846 0.1681
O12 O 0.9304 0.5840 0.2229
O13 O 0.0696 0.4160 0.7771
Sn4 Sn 0.8436 0.9154 0.8319
Li5 Li 0.9225 0.0199 0.1661
O14 O 0.9429 0.6661 0.5812
O15 O 0.1735 0.6378 0.4451
P3 P 0.8440 0.6773 0.5369
P4 P 0.1560 0.3227 0.4631
P5 P 0.6560 0.6773 0.0369
O16 O 0.0571 0.3339 0.4188
O17 O 0.0788 0.7539 0.0966
O18 O 0.9212 0.2461 0.9034
O19 O 0.8265 0.3622 0.5549
P6 P 0.0195 0.4833 0.2226
O20 O 0.0247 0.2084 0.1983
O21 O 0.5696 0.5840 0.7229
P7 P 0.3440 0.3227 0.9631
O22 O 0.1644 0.0345 0.6520
P8 P 0.5195 0.5167 0.2774
O23 O 0.3265 0.6378 0.9451
O24 O 0.7086 0.6943 0.1718
Li6 Li 0.6778 0.3908 0.8238
O25 O 0.2914 0.3057 0.8282
Li7 Li 0.0775 0.9801 0.8339
Li8 Li 0.3222 0.6092 0.1762
O26 O 0.8356 0.9655 0.3480
O27 O 0.5571 0.6661 0.0812
O28 O 0.6735 0.3622 0.0549
```

**Offset from the most stable computed form**: 0.095 eV/f.u.
**SG**: P2_1/c
**Total DFT energy (no corrections)**: -6.59 eV/atom
**Raw formation energy**: -2139.0 meV/atom